Run A
Material: YMo2Ru
Method: DFT, PBEsol
State: optimized geometry

Geometry as CIF:
```
data_YMo2Ru
_chemical_formula_sum 'Y2 Mo4 Ru2'
_cell_length_a 3.174
_cell_length_b 4.822
_cell_length_c 8.892
_cell_angle_alpha 90.00
_cell_angle_beta 90.00
_cell_angle_gamma 90.00
_space_group_name_H-M_alt 'I m m 2'
_space_group_IT_number 44
loop_
_space_group_symop_operation_xyz
'x,y,z'
'-x,-y,z'
'-x,y,z'
'x,-y,z'
'x+1/2,y+1/2,z+1/2'
'-x+1/2,-y+1/2,z+1/2'
'-x+1/2,y+1/2,z+1/2'
'x+1/2,-y+1/2,z+1/2'
loop_
_atom_site_label
_atom_site_type_symbol
_atom_site_fract_x
_atom_site_fract_y
_atom_site_fract_z
_atom_site_occupancy
Y1 Y 0.000 0.000 0.000 1
Mo1 Mo 0.000 0.000 0.496 1
Mo2 Mo 0.000 0.500 0.773 1
Ru1 Ru 0.000 0.500 0.235 1
```

***

Run B
Material: YMo2Ru
Method: DFT, PBEsol
State: optimized geometry

Geometry as CIF:
```
data_YMo2Ru
_chemical_formula_sum 'Y2 Mo4 Ru2'
_cell_length_a 5.341
_cell_length_b 9.232
_cell_length_c 2.857
_cell_angle_alpha 90.00
_cell_angle_beta 109.07
_cell_angle_gamma 90.00
_space_group_name_H-M_alt 'C 1 2/m 1'
_space_group_IT_number 12
loop_
_space_group_symop_operation_xyz
'x,y,z'
'-x,-y,-z'
'-x,y,-z'
'x,-y,z'
'x+1/2,y+1/2,z'
'-x+1/2,-y+1/2,-z'
'-x+1/2,y+1/2,-z'
'x+1/2,-y+1/2,z'
loop_
_atom_site_label
_atom_site_type_symbol
_atom_site_fract_x
_atom_site_fract_y
_atom_site_fract_z
_atom_site_occupancy
Y1 Y 0.000 0.000 0.000 1
Mo1 Mo 0.250 0.250 0.500 1
Ru1 Ru 0.000 0.500 0.000 1
```

***

Computed stability ranking, most favorable first: run A, run B

***

Run A
Material: YMoRu2
Method: DFT, PBEsol
State: optimized geometry

Geometry as CIF:
```
data_YMoRu2
_chemical_formula_sum 'Y2 Mo2 Ru4'
_cell_length_a 5.781
_cell_length_b 8.386
_cell_length_c 2.850
_cell_angle_alpha 90.00
_cell_angle_beta 109.84
_cell_angle_gamma 90.00
_space_group_name_H-M_alt 'C 1 2/m 1'
_space_group_IT_number 12
loop_
_space_group_symop_operation_xyz
'x,y,z'
'-x,-y,-z'
'-x,y,-z'
'x,-y,z'
'x+1/2,y+1/2,z'
'-x+1/2,-y+1/2,-z'
'-x+1/2,y+1/2,-z'
'x+1/2,-y+1/2,z'
loop_
_atom_site_label
_atom_site_type_symbol
_atom_site_fract_x
_atom_site_fract_y
_atom_site_fract_z
_atom_site_occupancy
Y1 Y 0.000 0.000 0.000 1
Mo1 Mo 0.000 0.500 0.000 1
Ru1 Ru 0.250 0.250 0.500 1
```

***

Run B
Material: YMoRu2
Method: DFT, PBEsol
State: optimized geometry

Geometry as CIF:
```
data_YMoRu2
_chemical_formula_sum 'Y1 Mo1 Ru2'
_cell_length_a 3.081
_cell_length_b 3.081
_cell_length_c 7.053
_cell_angle_alpha 90.00
_cell_angle_beta 90.00
_cell_angle_gamma 90.00
_space_group_name_H-M_alt 'P 4/m m m'
_space_group_IT_number 123
_space_group_name_Hall '-P 4 2'
loop_
_atom_site_label
_atom_site_type_symbol
_atom_site_fract_x
_atom_site_fract_y
_atom_site_fract_z
_atom_site_occupancy
Y1 Y 0.000 0.000 0.000 1
Mo1 Mo 0.000 0.000 0.500 1
Ru1 Ru 0.500 0.500 0.292 1
```

***

Computed stability ranking, most favorable first: run B, run A

***

Run A
Material: ZrMoRu2
Method: DFT, PBEsol
State: optimized geometry

Geometry as CIF:
```
data_ZrMoRu2
_chemical_formula_sum 'Zr1 Mo1 Ru2'
_cell_length_a 3.205
_cell_length_b 4.238
_cell_length_c 4.575
_cell_angle_alpha 90.00
_cell_angle_beta 90.00
_cell_angle_gamma 90.00
_space_group_name_H-M_alt 'P m m m'
_space_group_IT_number 47
loop_
_space_group_symop_operation_xyz
'x,y,z'
'-x,-y,-z'
'-x,-y,z'
'x,y,-z'
'x,-y,-z'
'-x,y,z'
'-x,y,-z'
'x,-y,z'
loop_
_atom_site_label
_atom_site_type_symbol
_atom_site_fract_x
_atom_site_fract_y
_atom_site_fract_z
_atom_site_occupancy
Zr1 Zr 0.000 0.000 0.000 1
Mo1 Mo 0.500 0.000 0.500 1
Ru1 Ru 0.000 0.500 0.500 1
Ru2 Ru 0.500 0.500 0.000 1
```

***

Run B
Material: ZrMoRu2
Method: DFT, PBEsol
State: optimized geometry

Geometry as CIF:
```
data_ZrMoRu2
_chemical_formula_sum 'Zr1 Mo1 Ru2'
_cell_length_a 2.991
_cell_length_b 2.991
_cell_length_c 7.040
_cell_angle_alpha 90.00
_cell_angle_beta 90.00
_cell_angle_gamma 90.00
_space_group_name_H-M_alt 'P 4/m m m'
_space_group_IT_number 123
_space_group_name_Hall '-P 4 2'
loop_
_atom_site_label
_atom_site_type_symbol
_atom_site_fract_x
_atom_site_fract_y
_atom_site_fract_z
_atom_site_occupancy
Zr1 Zr 0.000 0.000 0.000 1
Mo1 Mo 0.000 0.000 0.500 1
Ru1 Ru 0.500 0.500 0.278 1
```

***

Run C
Material: ZrMoRu2
Method: DFT, PBEsol
State: optimized geometry

Geometry as CIF:
```
data_ZrMoRu2
_chemical_formula_sum 'Zr4 Mo4 Ru8'
_cell_length_a 6.283
_cell_length_b 6.283
_cell_length_c 6.283
_cell_angle_alpha 90.00
_cell_angle_beta 90.00
_cell_angle_gamma 90.00
_space_group_name_H-M_alt 'F -4 3 m'
_space_group_IT_number 216
_space_group_name_Hall 'F -4 2 3'
loop_
_atom_site_label
_atom_site_type_symbol
_atom_site_fract_x
_atom_site_fract_y
_atom_site_fract_z
_atom_site_occupancy
Zr1 Zr 0.000 0.000 0.000 1
Mo1 Mo 0.250 0.250 0.750 1
Ru1 Ru 0.000 0.000 0.500 1
Ru2 Ru 0.250 0.250 0.250 1
```

***

Computed stability ranking, most favorable first: run B, run A, run C

***

Run A
Material: TaMoS2
Method: DFT, PBEsol
State: optimized geometry

Geometry as CIF:
```
data_TaMoS2
_chemical_formula_sum 'Ta4 Mo4 S8'
_cell_length_a 4.401
_cell_length_b 4.401
_cell_length_c 14.189
_cell_angle_alpha 90.00
_cell_angle_beta 90.00
_cell_angle_gamma 90.00
_space_group_name_H-M_alt 'I -4 2 d'
_space_group_IT_number 122
_space_group_name_Hall 'I -4 2bw'
loop_
_atom_site_label
_atom_site_type_symbol
_atom_site_fract_x
_atom_site_fract_y
_atom_site_fract_z
_atom_site_occupancy
Ta1 Ta 0.000 0.000 0.000 1
Mo1 Mo 0.000 0.000 0.500 1
S1 S 0.239 0.250 0.625 1
```

***

Run B
Material: TaMoS2
Method: DFT, PBEsol
State: optimized geometry

Geometry as CIF:
```
data_TaMoS2
_chemical_formula_sum 'Ta3 Mo3 S6'
_cell_length_a 3.0372
_cell_length_b 3.0372
_cell_length_c 24.3942
_cell_angle_alpha 90.00
_cell_angle_beta 90.00
_cell_angle_gamma 120.00
_space_group_name_H-M_alt 'R -3 m'
_space_group_IT_number 166
_space_group_name_Hall '-R 3 2"'
loop_
_atom_site_label
_atom_site_type_symbol
_atom_site_fract_x
_atom_site_fract_y
_atom_site_fract_z
_atom_site_occupancy
Ta1 Ta 0.0000 0.0000 0.0000 1
Mo1 Mo 0.0000 0.0000 0.5000 1
S1 S 0.0000 0.0000 0.4039 1
```

***

Computed stability ranking, most favorable first: run B, run A

***

Run A
Material: Sc2SbMo
Method: DFT, PBEsol
State: optimized geometry

Geometry as CIF:
```
data_Sc2SbMo
_chemical_formula_sum 'Sc4 Sb2 Mo2'
_cell_length_a 3.687
_cell_length_b 5.009
_cell_length_c 8.923
_cell_angle_alpha 90.00
_cell_angle_beta 90.00
_cell_angle_gamma 90.00
_space_group_name_H-M_alt 'C m m 2'
_space_group_IT_number 35
loop_
_space_group_symop_operation_xyz
'x,y,z'
'-x,-y,z'
'-x,y,z'
'x,-y,z'
'x+1/2,y+1/2,z'
'-x+1/2,-y+1/2,z'
'-x+1/2,y+1/2,z'
'x+1/2,-y+1/2,z'
loop_
_atom_site_label
_atom_site_type_symbol
_atom_site_fract_x
_atom_site_fract_y
_atom_site_fract_z
_atom_site_occupancy
Sc1 Sc 0.000 0.000 0.000 1
Sc2 Sc 0.000 0.500 0.292 1
Sb1 Sb 0.000 0.500 0.746 1
Mo1 Mo 0.000 0.000 0.523 1
```

***

Run B
Material: Sc2SbMo
Method: DFT, PBEsol
State: optimized geometry

Geometry as CIF:
```
data_Sc2SbMo
_chemical_formula_sum 'Sc4 Sb2 Mo2'
_cell_length_a 10.181
_cell_length_b 3.752
_cell_length_c 4.460
_cell_angle_alpha 90.00
_cell_angle_beta 115.27
_cell_angle_gamma 90.00
_space_group_name_H-M_alt 'C 1 m 1'
_space_group_IT_number 8
loop_
_space_group_symop_operation_xyz
'x,y,z'
'x,-y,z'
'x+1/2,y+1/2,z'
'x+1/2,-y+1/2,z'
loop_
_atom_site_label
_atom_site_type_symbol
_atom_site_fract_x
_atom_site_fract_y
_atom_site_fract_z
_atom_site_occupancy
Sc1 Sc 0.000 0.000 0.000 1
Sc2 Sc 0.242 0.000 0.751 1
Sb1 Sb 0.482 0.000 0.480 1
Mo1 Mo 0.245 0.500 0.260 1
```

***

Computed stability ranking, most favorable first: run B, run A

***

Run A
Material: SiSbMo2
Method: DFT, PBEsol
State: optimized geometry

Geometry as CIF:
```
data_SiSbMo2
_chemical_formula_sum 'Si2 Sb2 Mo4'
_cell_length_a 9.172
_cell_length_b 3.184
_cell_length_c 4.612
_cell_angle_alpha 90.00
_cell_angle_beta 107.31
_cell_angle_gamma 90.00
_space_group_name_H-M_alt 'C 1 m 1'
_space_group_IT_number 8
loop_
_space_group_symop_operation_xyz
'x,y,z'
'x,-y,z'
'x+1/2,y+1/2,z'
'x+1/2,-y+1/2,z'
loop_
_atom_site_label
_atom_site_type_symbol
_atom_site_fract_x
_atom_site_fract_y
_atom_site_fract_z
_atom_site_occupancy
Si1 Si 0.000 0.000 0.000 1
Sb1 Sb 0.238 0.000 0.640 1
Mo1 Mo 0.233 0.500 0.122 1
Mo2 Mo 0.489 0.000 0.468 1
```

***

Run B
Material: SiSbMo2
Method: DFT, PBEsol
State: optimized geometry

Geometry as CIF:
```
data_SiSbMo2
_chemical_formula_sum 'Si4 Sb4 Mo8'
_cell_length_a 6.319
_cell_length_b 6.319
_cell_length_c 6.319
_cell_angle_alpha 90.00
_cell_angle_beta 90.00
_cell_angle_gamma 90.00
_space_group_name_H-M_alt 'F m -3 m'
_space_group_IT_number 225
_space_group_name_Hall '-F 4 2 3'
loop_
_atom_site_label
_atom_site_type_symbol
_atom_site_fract_x
_atom_site_fract_y
_atom_site_fract_z
_atom_site_occupancy
Si1 Si 0.000 0.000 0.000 1
Sb1 Sb 0.000 0.000 0.500 1
Mo1 Mo 0.250 0.250 0.250 1
```

***

Computed stability ranking, most favorable first: run A, run B

***

Run A
Material: SrSb2Mo
Method: DFT, PBEsol
State: optimized geometry

Geometry as CIF:
```
data_SrSb2Mo
_chemical_formula_sum 'Sr4 Sb8 Mo4'
_cell_length_a 7.251
_cell_length_b 7.251
_cell_length_c 7.251
_cell_angle_alpha 90.00
_cell_angle_beta 90.00
_cell_angle_gamma 90.00
_space_group_name_H-M_alt 'F -4 3 m'
_space_group_IT_number 216
_space_group_name_Hall 'F -4 2 3'
loop_
_atom_site_label
_atom_site_type_symbol
_atom_site_fract_x
_atom_site_fract_y
_atom_site_fract_z
_atom_site_occupancy
Sr1 Sr 0.000 0.000 0.000 1
Sb1 Sb 0.000 0.000 0.500 1
Sb2 Sb 0.250 0.250 0.250 1
Mo1 Mo 0.250 0.250 0.750 1
```

***

Run B
Material: SrSb2Mo
Method: DFT, PBEsol
State: optimized geometry

Geometry as CIF:
```
data_SrSb2Mo
_chemical_formula_sum 'Sr2 Sb4 Mo2'
_cell_length_a 8.451
_cell_length_b 3.811
_cell_length_c 6.562
_cell_angle_alpha 90.00
_cell_angle_beta 105.52
_cell_angle_gamma 90.00
_space_group_name_H-M_alt 'C 1 2/m 1'
_space_group_IT_number 12
loop_
_space_group_symop_operation_xyz
'x,y,z'
'-x,-y,-z'
'-x,y,-z'
'x,-y,z'
'x+1/2,y+1/2,z'
'-x+1/2,-y+1/2,-z'
'-x+1/2,y+1/2,-z'
'x+1/2,-y+1/2,z'
loop_
_atom_site_label
_atom_site_type_symbol
_atom_site_fract_x
_atom_site_fract_y
_atom_site_fract_z
_atom_site_occupancy
Sr1 Sr 0.000 0.000 0.000 1
Sb1 Sb 0.232 0.000 0.678 1
Mo1 Mo 0.000 0.500 0.500 1
```

***

Computed stability ranking, most favorable first: run B, run A